No. 1
The following is a DFT calculation (PBE) of a relaxed Er8Te3PSe3 crystal.

Results
**M_tot**: 0.0 μB per formula unit
**E_form (uncorrected)**: -1.373 eV per atom

a b c (Å): 8.2051 8.2051 20.7216
angles (deg): 90.00 90.00 120.00
Space group R-3m (No. 166, hexagonal axes)
One atom of each set of equivalent atoms:
Er: 0.0000 0.0000 0.2380 x6
Er: 0.0142 0.5071 0.2381 x18
Te: 0.0000 0.5000 0.0000 x9
P: 0.0000 0.0000 0.5000 x3
Se: 0.0000 0.5000 0.5000 x9

---

No. 2
The following is a DFT calculation (PBE) of a relaxed Er6Te2PSe3 crystal.

Results
**M_tot**: 0.0 μB per formula unit
**E_form (uncorrected)**: -1.560 eV per atom

a b c (Å): 7.236 12.542 7.018
angles (deg): 90.00 109.88 90.00
Space group C2/m (No. 12)
One atom of each set of equivalent atoms:
Er: 0.205 0.000 0.233 x4
Er: 0.230 0.148 0.754 x8
Te: 0.000 0.337 0.500 x4
P: 0.000 0.000 0.500 x2
Se: 0.000 0.181 0.000 x4
Se: 0.000 0.500 0.000 x2

---

No. 3
The following is a DFT calculation (PBE) of a relaxed Er8Te4P3Se crystal.

Results
**M_tot**: 0.0 μB per formula unit
**E_form (uncorrected)**: -1.525 eV per atom

a b c (Å): 8.1843 8.1843 20.9958
angles (deg): 90.00 90.00 120.00
Space group R-3m (No. 166, hexagonal axes)
One atom of each set of equivalent atoms:
Er: 0.0000 0.0000 0.2359 x6
Er: 0.0116 0.5058 0.7634 x18
Te: 0.0000 0.0000 0.0000 x3
Te: 0.0000 0.5000 0.0000 x9
P: 0.0000 0.5000 0.5000 x9
Se: 0.0000 0.0000 0.5000 x3

---

No. 4
The following is a DFT calculation (PBE) of a relaxed Er6TeP3Se2 crystal.

Results
**M_tot**: 0.0 μB per formula unit
**E_form (uncorrected)**: -1.668 eV per atom

a b c (Å): 17.803 4.018 8.190
angles (deg): 90.00 104.87 90.00
Space group C2/m (No. 12)
One atom of each set of equivalent atoms:
Er: 0.005 0.000 0.225 x4
Er: 0.162 0.500 0.095 x4
Er: 0.176 0.500 0.572 x4
Te: 0.000 0.500 0.500 x2
P: 0.000 0.500 0.000 x2
P: 0.165 0.000 0.331 x4
Se: 0.167 0.000 0.834 x4

---

No. 5
The following is a DFT calculation (PBE) of a relaxed Er6Te3P2Se crystal.

Results
**M_tot**: 0.0 μB per formula unit
**E_form (uncorrected)**: -1.524 eV per atom

a b c (Å): 18.309 4.099 8.434
angles (deg): 90.00 105.36 90.00
Space group C2/m (No. 12)
One atom of each set of equivalent atoms:
Er: 0.015 0.000 0.242 x4
Er: 0.166 0.500 0.118 x4
Er: 0.177 0.500 0.560 x4
Te: 0.000 0.500 0.500 x2
Te: 0.162 0.000 0.834 x4
P: 0.168 0.000 0.335 x4
Se: 0.000 0.500 0.000 x2

---

No. 6
The following is a DFT calculation (PBE) of a relaxed Er4TePSe2 crystal.

Results
**M_tot**: 0.0 μB per formula unit
**E_form (uncorrected)**: -1.596 eV per atom

a b c (Å): 7.029 4.065 7.236
angles (deg): 90.00 109.12 90.00
Space group P2/m (No. 10)
One atom of each set of equivalent atoms:
Er: 0.236 0.000 0.220 x2
Er: 0.255 0.500 0.784 x2
Te: 0.000 0.000 0.500 x1
P: 0.000 0.500 0.000 x1
Se: 0.500 0.000 0.000 x1
Se: 0.500 0.500 0.500 x1

---

Q: Which value of E_form (uncorrected) does entry 5 give?
A: -1.524 eV per atom

---

Q: Among the records above, which one has the highest E_form (uncorrected)?
A: Er8Te3PSe3

---

Please write out number 5 again, unchanged.
The following is a DFT calculation (PBE) of a relaxed Er6Te3P2Se crystal.

Results
**M_tot**: 0.0 μB per formula unit
**E_form (uncorrected)**: -1.524 eV per atom

a b c (Å): 18.309 4.099 8.434
angles (deg): 90.00 105.36 90.00
Space group C2/m (No. 12)
One atom of each set of equivalent atoms:
Er: 0.015 0.000 0.242 x4
Er: 0.166 0.500 0.118 x4
Er: 0.177 0.500 0.560 x4
Te: 0.000 0.500 0.500 x2
Te: 0.162 0.000 0.834 x4
P: 0.168 0.000 0.335 x4
Se: 0.000 0.500 0.000 x2